1.
DFT (GGA-PBE) results for a relaxed Nb crystal.

The value obtained for the electronic total energy is -39.233 eV per cell. The size of the total moment comes out at 0.000 μB/atom. For the distance to the lowest polymorph of the same formula, the calculation gives 6.030 kcal/mol of atoms. Its formation energy is 0.26 eV/f.u.

Cell lengths 2.8707, 2.8707, 10.4992 Å; angles 90.00, 90.00, 120.00 degrees
Last column: nearest neighbours and their distance in Å.
Space group P6_3/mmc (No. 194)
Symmetry-distinct sites (fractional):
Nb1 0.0000 0.0000 0.0000  12 Nb 2.87-3.10
Nb2 0.3333 0.6667 0.2500  12 Nb 2.87-3.10



2.
DFT (GGA-PBE) results for a relaxed CaCeSnPd crystal.

The value obtained for the electronic total energy is -78.234 eV per cell. The size of the total moment comes out at 0.173 μB/atom. Its formation energy is -2.43 eV/f.u.

Cell lengths 7.4324, 7.4324, 7.4324 Å; angles 90.00, 90.00, 90.00 degrees
Last column: nearest neighbours and their distance in Å.
Space group F-43m (No. 216)
Symmetry-distinct sites (fractional):
Ca1 0.0000 0.0000 0.0000  4 Pd 3.22, 4 Sn 3.22
Ce1 0.0000 0.0000 0.5000  4 Sn 3.22, 4 Pd 3.22
Sn1 0.2500 0.2500 0.7500  4 Ce 3.22, 4 Ca 3.22
Pd1 0.2500 0.2500 0.2500  4 Ce 3.22, 4 Ca 3.22



3.
DFT (GGA-PBE) results for a relaxed Pm3Co3Pb crystal.

The value obtained for the electronic total energy is -81.251 eV per cell. The size of the total moment comes out at 0.263 μB/atom. Its formation energy is -1.35 eV/f.u.

Cell lengths 9.9990, 9.9990, 3.8320 Å; angles 90.00, 90.00, 120.00 degrees
Last column: nearest neighbours and their distance in Å.
Space group P6_3/m (No. 176)
Symmetry-distinct sites (fractional):
Pm1 0.0571 0.6864 0.2500  4 Co 2.79-3.05
Co1 0.0194 0.8679 0.7500  6 Co 2.39-2.47
Pb1 0.3333 0.6667 0.7500  9 Pm 3.45-3.73, 2 Pb 3.83